one.
# CdSb2Te | Alexandria via LeMat-Bulk | PBE | relaxed
# Total magnetization in μB/f.u.: 0.00
data_CdSb2Te
_cell_length_a 6.456
_cell_length_b 11.133
_cell_length_c 3.078
_cell_angle_alpha 90.00
_cell_angle_beta 90.00
_cell_angle_gamma 90.00
_symmetry_space_group_name_H-M 'C m m m'
_symmetry_Int_Tables_number 65
_symmetry_space_group_name_Hall '-C 2 2'
loop_
_atom_site_label
_atom_site_type_symbol
_atom_site_fract_x
_atom_site_fract_y
_atom_site_fract_z
Cd1 Cd 0.000 0.000 0.000
Sb1 Sb 0.250 0.250 0.500
Te1 Te 0.000 0.500 0.000

=====

two.
# CdSb2Te | Alexandria via LeMat-Bulk | PBE | relaxed
# Total magnetization in μB/f.u.: 0.00
data_CdSb2Te
_cell_length_a 3.746
_cell_length_b 3.746
_cell_length_c 7.628
_cell_angle_alpha 90.00
_cell_angle_beta 90.00
_cell_angle_gamma 90.00
_symmetry_space_group_name_H-M 'P 4/m m m'
_symmetry_Int_Tables_number 123
_symmetry_space_group_name_Hall '-P 4 2'
loop_
_atom_site_label
_atom_site_type_symbol
_atom_site_fract_x
_atom_site_fract_y
_atom_site_fract_z
Cd1 Cd 0.000 0.000 0.000
Sb1 Sb 0.500 0.500 0.241
Te1 Te 0.000 0.000 0.500

=====

three.
# CdSb2Te | Alexandria via LeMat-Bulk | PBE | relaxed
# Total magnetization in μB/f.u.: 0.00
data_CdSb2Te
_cell_length_a 12.035
_cell_length_b 3.111
_cell_length_c 6.581
_cell_angle_alpha 90.00
_cell_angle_beta 93.25
_cell_angle_gamma 90.00
_symmetry_space_group_name_H-M 'C 1 2/m 1'
_symmetry_Int_Tables_number 12
loop_
_symmetry_equiv_pos_as_xyz
'x,y,z'
'-x,-y,-z'
'-x,y,-z'
'x,-y,z'
'x+1/2,y+1/2,z'
'-x+1/2,-y+1/2,-z'
'-x+1/2,y+1/2,-z'
'x+1/2,-y+1/2,z'
loop_
_atom_site_label
_atom_site_type_symbol
_atom_site_fract_x
_atom_site_fract_y
_atom_site_fract_z
Cd1 Cd 0.000 0.000 0.000
Sb1 Sb 0.196 0.500 0.190
Te1 Te 0.000 0.500 0.500

=====

Least stable structure: one

=====

one.
# CdSb2Te | Alexandria via LeMat-Bulk | PBE | relaxed
# Total magnetization in μB/f.u.: 0.00
data_CdSb2Te
_cell_length_a 3.832
_cell_length_b 5.481
_cell_length_c 10.382
_cell_angle_alpha 90.00
_cell_angle_beta 90.00
_cell_angle_gamma 90.00
_symmetry_space_group_name_H-M 'C m m 2'
_symmetry_Int_Tables_number 35
loop_
_symmetry_equiv_pos_as_xyz
'x,y,z'
'-x,-y,z'
'-x,y,z'
'x,-y,z'
'x+1/2,y+1/2,z'
'-x+1/2,-y+1/2,z'
'-x+1/2,y+1/2,z'
'x+1/2,-y+1/2,z'
loop_
_atom_site_label
_atom_site_type_symbol
_atom_site_fract_x
_atom_site_fract_y
_atom_site_fract_z
Cd1 Cd 0.000 0.000 0.000
Sb1 Sb 0.000 0.000 0.511
Sb2 Sb 0.000 0.500 0.759
Te1 Te 0.000 0.500 0.238

=====

two.
# CdSb2Te | Alexandria via LeMat-Bulk | PBE | relaxed
# Total magnetization in μB/f.u.: 0.00
data_CdSb2Te
_cell_length_a 3.126
_cell_length_b 4.294
_cell_length_c 8.798
_cell_angle_alpha 90.00
_cell_angle_beta 98.67
_cell_angle_gamma 90.00
_symmetry_space_group_name_H-M 'P 1 2/m 1'
_symmetry_Int_Tables_number 10
loop_
_symmetry_equiv_pos_as_xyz
'x,y,z'
'-x,-y,-z'
'-x,y,-z'
'x,-y,z'
loop_
_atom_site_label
_atom_site_type_symbol
_atom_site_fract_x
_atom_site_fract_y
_atom_site_fract_z
Cd1 Cd 0.000 0.000 0.000
Sb1 Sb 0.127 0.500 0.768
Te1 Te 0.000 0.000 0.500

=====

Least stable structure: one

=====

one.
# Cd3SbTe | Alexandria via LeMat-Bulk | PBE | relaxed
# Total magnetization in μB/f.u.: 0.00
data_Cd3SbTe
_cell_length_a 4.780
_cell_length_b 8.481
_cell_length_c 9.618
_cell_angle_alpha 113.05
_cell_angle_beta 95.34
_cell_angle_gamma 92.47
_symmetry_space_group_name_H-M 'P -1'
_symmetry_Int_Tables_number 2
loop_
_symmetry_equiv_pos_as_xyz
'x,y,z'
'-x,-y,-z'
loop_
_atom_site_label
_atom_site_type_symbol
_atom_site_fract_x
_atom_site_fract_y
_atom_site_fract_z
Cd1 Cd 0.137 0.370 0.018
Cd2 Cd 0.207 0.995 0.349
Cd3 Cd 0.266 0.525 0.618
Sb1 Sb 0.203 0.281 0.271
Te1 Te 0.319 0.216 0.700

=====

two.
# Cd3SbTe | Alexandria via LeMat-Bulk | PBE | relaxed
# Total magnetization in μB/f.u.: 0.00
data_Cd3SbTe
_cell_length_a 18.751
_cell_length_b 9.380
_cell_length_c 8.048
_cell_angle_alpha 90.00
_cell_angle_beta 115.34
_cell_angle_gamma 90.00
_symmetry_space_group_name_H-M 'C 1 2/c 1'
_symmetry_Int_Tables_number 15
loop_
_symmetry_equiv_pos_as_xyz
'x,y,z'
'-x,-y,-z'
'-x,y,-z+1/2'
'x,-y,z+1/2'
'x+1/2,y+1/2,z'
'-x+1/2,-y+1/2,-z'
'-x+1/2,y+1/2,-z+1/2'
'x+1/2,-y+1/2,z+1/2'
loop_
_atom_site_label
_atom_site_type_symbol
_atom_site_fract_x
_atom_site_fract_y
_atom_site_fract_z
Cd1 Cd 0.067 0.155 0.156
Cd2 Cd 0.086 0.369 0.654
Cd3 Cd 0.182 0.095 0.867
Sb1 Sb 0.000 0.116 0.750
Sb2 Sb 0.000 0.408 0.250
Te1 Te 0.244 0.159 0.255

=====

three.
# Cd3SbTe | Alexandria via LeMat-Bulk | PBE | relaxed
# Total magnetization in μB/f.u.: 0.00
data_Cd3SbTe
_cell_length_a 5.526
_cell_length_b 5.526
_cell_length_c 5.526
_cell_angle_alpha 90.00
_cell_angle_beta 90.00
_cell_angle_gamma 90.00
_symmetry_space_group_name_H-M 'P m -3 m'
_symmetry_Int_Tables_number 221
_symmetry_space_group_name_Hall '-P 4 2 3'
loop_
_atom_site_label
_atom_site_type_symbol
_atom_site_fract_x
_atom_site_fract_y
_atom_site_fract_z
Cd1 Cd 0.000 0.000 0.500
Sb1 Sb 0.000 0.000 0.000
Te1 Te 0.500 0.500 0.500

=====

Least stable structure: three

=====

one.
# CdSbTe | Alexandria via LeMat-Bulk | PBE | relaxed
# Total magnetization in μB/f.u.: 0.00
data_CdSbTe
_cell_length_a 4.112
_cell_length_b 4.942
_cell_length_c 10.695
_cell_angle_alpha 102.29
_cell_angle_beta 90.05
_cell_angle_gamma 114.43
_symmetry_space_group_name_H-M 'P -1'
_symmetry_Int_Tables_number 2
loop_
_symmetry_equiv_pos_as_xyz
'x,y,z'
'-x,-y,-z'
loop_
_atom_site_label
_atom_site_type_symbol
_atom_site_fract_x
_atom_site_fract_y
_atom_site_fract_z
Cd1 Cd 0.120 0.242 0.430
Sb1 Sb 0.368 0.736 0.302
Te1 Te 0.267 0.533 0.889

=====

two.
# CdSbTe | Alexandria via LeMat-Bulk | PBE | relaxed
# Total magnetization in μB/f.u.: 0.00
data_CdSbTe
_cell_length_a 5.7146
_cell_length_b 5.7146
_cell_length_c 3.0605
_cell_angle_alpha 90.00
_cell_angle_beta 90.00
_cell_angle_gamma 120.00
_symmetry_space_group_name_H-M 'P 3 m 1'
_symmetry_Int_Tables_number 156
loop_
_symmetry_equiv_pos_as_xyz
'x,y,z'
'-y,x-y,z'
'-x+y,-x,z'
'-y,-x,z'
'-x+y,y,z'
'x,x-y,z'
loop_
_atom_site_label
_atom_site_type_symbol
_atom_site_fract_x
_atom_site_fract_y
_atom_site_fract_z
Cd1 Cd 0.0000 0.0000 0.0000
Sb1 Sb 0.6667 0.3333 0.0058
Te1 Te 0.3333 0.6667 0.0073

=====

Least stable structure: two

=====

one.
# CdSbTe | Alexandria via LeMat-Bulk | PBE | relaxed
# Total magnetization in μB/f.u.: 0.00
data_CdSbTe
_cell_length_a 3.996
_cell_length_b 5.224
_cell_length_c 15.742
_cell_angle_alpha 90.00
_cell_angle_beta 90.00
_cell_angle_gamma 90.00
_symmetry_space_group_name_H-M 'F m m 2'
_symmetry_Int_Tables_number 42
_symmetry_space_group_name_Hall 'F 2 -2'
loop_
_atom_site_label
_atom_site_type_symbol
_atom_site_fract_x
_atom_site_fract_y
_atom_site_fract_z
Cd1 Cd 0.000 0.000 0.000
Sb1 Sb 0.000 0.000 0.351
Te1 Te 0.000 0.000 0.654

=====

two.
# CdSbTe | Alexandria via LeMat-Bulk | PBE | relaxed
# Total magnetization in μB/f.u.: 0.00
data_CdSbTe
_cell_length_a 3.777
_cell_length_b 3.777
_cell_length_c 11.703
_cell_angle_alpha 90.00
_cell_angle_beta 90.00
_cell_angle_gamma 90.00
_symmetry_space_group_name_H-M 'I 4 m m'
_symmetry_Int_Tables_number 107
_symmetry_space_group_name_Hall 'I 4 -2'
loop_
_atom_site_label
_atom_site_type_symbol
_atom_site_fract_x
_atom_site_fract_y
_atom_site_fract_z
Cd1 Cd 0.000 0.000 0.000
Sb1 Sb 0.000 0.000 0.672
Te1 Te 0.000 0.000 0.316

=====

three.
# CdSbTe | Alexandria via LeMat-Bulk | PBE | relaxed
# Total magnetization in μB/f.u.: 0.00
data_CdSbTe
_cell_length_a 7.194
_cell_length_b 7.194
_cell_length_c 7.194
_cell_angle_alpha 90.00
_cell_angle_beta 90.00
_cell_angle_gamma 90.00
_symmetry_space_group_name_H-M 'F -4 3 m'
_symmetry_Int_Tables_number 216
_symmetry_space_group_name_Hall 'F -4 2 3'
loop_
_atom_site_label
_atom_site_type_symbol
_atom_site_fract_x
_atom_site_fract_y
_atom_site_fract_z
Cd1 Cd 0.000 0.000 0.000
Sb1 Sb 0.250 0.250 0.250
Te1 Te 0.250 0.250 0.750

=====

four.
# CdSbTe | Alexandria via LeMat-Bulk | PBE | relaxed
# Total magnetization in μB/f.u.: 0.00
data_CdSbTe
_cell_length_a 3.4561
_cell_length_b 3.4561
_cell_length_c 8.4475
_cell_angle_alpha 90.00
_cell_angle_beta 90.00
_cell_angle_gamma 120.00
_symmetry_space_group_name_H-M 'P 3 m 1'
_symmetry_Int_Tables_number 156
loop_
_symmetry_equiv_pos_as_xyz
'x,y,z'
'-y,x-y,z'
'-x+y,-x,z'
'-y,-x,z'
'-x+y,y,z'
'x,x-y,z'
loop_
_atom_site_label
_atom_site_type_symbol
_atom_site_fract_x
_atom_site_fract_y
_atom_site_fract_z
Cd1 Cd 0.0000 0.0000 0.0000
Sb1 Sb 0.6667 0.3333 0.2787
Te1 Te 0.3333 0.6667 0.7215

=====

Least stable structure: three